NbCuP | PBE-GGA | optimized geometry

Cell: 3.276 3.352 8.143 Å, 90.00 90.00 90.00°
Element x y z (fractional)
Nb  0.000  0.000  0.000
Nb  0.500  0.000  0.351
Cu  0.000  0.000  0.664
Cu  0.500  0.500  0.788
P  0.000  0.500  0.470
P  0.500  0.500  0.114

Computed properties:
ΔE_f	-0.4666	eV per atom

ScIn2ReO8 | PBE-GGA | optimized geometry

Cell: 4.912 4.912 6.411 Å, 90.00 90.00 92.63°
Element x y z (fractional)
Sc  0.000  0.000  0.000
In  0.500  0.500  0.247
In  0.500  0.500  0.753
Re  0.000  0.000  0.500
O  0.180  0.820  0.284
O  0.180  0.820  0.716
O  0.286  0.286  0.500
O  0.295  0.295  0.000
O  0.705  0.705  0.000
O  0.714  0.714  0.500
O  0.820  0.180  0.284
O  0.820  0.180  0.716

Computed properties:
energy relative to the elements, uncorrected	-1.91	eV/atom

Sr2ScTl | PBE-GGA | optimized geometry

Cell: 11.631 11.631 11.631 Å, 19.05 19.05 19.05°
Element x y z (fractional)
Sr  0.245  0.245  0.245
Sr  0.755  0.755  0.755
Sc  0.000  0.000  0.000
Tl  0.500  0.500  0.500

Computed properties:
distance to the lowest polymorph of the same formula	0.164	eV per atom
ΔE_f	0.1074	eV per atom

KMo2Os | PBE-GGA | optimized geometry

Cell: 2.797 2.797 10.136 Å, 90.00 90.00 90.00°
Element x y z (fractional)
K  0.000  0.000  0.000
Mo  0.500  0.500  0.316
Mo  0.500  0.500  0.684
Os  0.000  0.000  0.500

Computed properties:
distance to the lowest polymorph of the same formula	0.052	eV per atom
ΔE_f	0.8267	eV per atom

ErAs2Pt | PBE-GGA | optimized geometry

Cell: 8.773 8.773 8.773 Å, 24.18 24.18 24.18°
Element x y z (fractional)
Er  0.000  0.000  0.000
As  0.112  0.112  0.112
As  0.888  0.888  0.888
Pt  0.500  0.500  0.500

Computed properties:
ΔE_f	-0.1958	eV per atom

PmNdTm2P4 | PBE-GGA | optimized geometry

Cell: 7.009 4.053 7.017 Å, 90.00 109.49 90.00°
Element x y z (fractional)
Pm  0.000  0.000  0.000
Nd  0.000  0.500  0.500
Tm  0.500  0.000  0.500
Tm  0.500  0.500  0.000
P  0.262  0.500  0.253
P  0.263  0.000  0.755
P  0.737  0.000  0.245
P  0.738  0.500  0.747

Computed properties:
ΔE_f	-1.5672	eV per atom